First-principles (PBEsol) data for a relaxed structure of ZrOs2Ru, as listed in Alexandria via LeMat-Bulk.

Geometry as CIF:
```
data_ZrOs2Ru
_space_group_name_H-M_alt 'C m m m'
_space_group_IT_number 65
_space_group_name_Hall '-C 2 2'
_cell_length_a 5.530
_cell_length_b 7.802
_cell_length_c 2.814
_cell_angle_alpha 90.00
_cell_angle_beta 90.00
_cell_angle_gamma 90.00
loop_
_atom_site_label
_atom_site_type_symbol
_atom_site_fract_x
_atom_site_fract_y
_atom_site_fract_z
Zr1 Zr 0.000 0.000 0.000
Os1 Os 0.250 0.250 0.500
Ru1 Ru 0.000 0.500 0.000
```

Its formation energy is 0.03 eV/atom. As for the total energy: -0.40030 Ha/atom.